# 1
Here is a geometry-optimized La2TbPmTm2 structure from Alexandria. Energies are from PBE.

As for the density of states at the Fermi level: 1.75 states/eV per atom. The value obtained for the calculated formation energy is 35 meV per atom. The total energy comes out at -4.66 eV/atom.

abc: 5.7802 11.0258 6.3626
angles: 90.00 90.00 90.00
Space group Pmc2_1 (No. 26)
Asymmetric unit:
1 La 0.0000 0.0841 0.0000 [2 per cell]
2 La 0.5000 0.2502 0.1638 [2 per cell]
3 Tb 0.0000 0.2533 0.4970 [2 per cell]
4 Pm 0.5000 0.4176 0.6594 [2 per cell]
5 Tm 0.0000 0.4200 0.9924 [2 per cell]
6 Tm 0.5000 0.0850 0.6633 [2 per cell]



# 2
Here is a geometry-optimized La2TbPm5Tm structure from Alexandria. Energies are from PBE.

As for the density of states at the Fermi level: 1.40 states/eV per atom. The value obtained for the calculated formation energy is 127 meV per atom. The total energy comes out at -4.62 eV/atom.

abc: 5.7226 20.2534 10.8175
angles: 90.00 90.00 90.00
Space group Cmc2_1 (No. 36)
Asymmetric unit:
1 La 0.0000 0.1141 0.0000 [4 per cell]
2 La 0.0000 0.1172 0.5820 [4 per cell]
3 Tb 0.0000 0.4084 0.7289 [4 per cell]
4 Pm 0.0000 0.0155 0.2852 [4 per cell]
5 Pm 0.0000 0.2785 0.5782 [4 per cell]
6 Pm 0.0000 0.2959 0.9697 [4 per cell]
7 Pm 0.0000 0.3834 0.2863 [4 per cell]
8 Pm 0.0000 0.4822 0.0083 [4 per cell]
9 Tm 0.0000 0.2001 0.2761 [4 per cell]



calculated formation energy of number 2 (La2TbPm5Tm)?
127 meV per atom